CaSc2Se (PBE, optimized geometry); E_tot = -5.233 eV per atom; DOS(E_F) = 3.66 states/eV/f.u.
1.0
1.831 1.057 9.206
-1.831 1.057 9.206
0.000 -2.114 9.206
Ca Sc Se
1 2 1
direct
0.000 0.000 0.000
0.224 0.224 0.224
0.466 0.466 0.466
0.738 0.738 0.738

***

YNi5Ge2 (PBE, optimized geometry); ΔE_f = -3.5 eV/f.u.; DOS(E_F) = 5.09 states/eV/f.u.
1.0
-1.825 3.350 4.640
1.825 -3.350 4.640
1.825 3.350 -4.640
Y Ni Ge
1 5 2
direct
0.000 0.000 0.000
0.173 0.360 0.813
0.453 0.640 0.813
0.500 0.000 0.500
0.547 0.360 0.187
0.827 0.640 0.187
0.250 0.750 0.500
0.750 0.250 0.500

***

LaThMg2 (PBE, optimized geometry); excess energy over the best structure of this formula in the dataset = 0.0 meV/atom; ΔE_f = 0.0 eV/f.u.; DOS(E_F) = 4.59 states/eV/f.u.
1.0
3.883 0.000 0.000
0.000 3.883 0.000
0.000 0.000 7.845
La Th Mg
1 1 2
direct
0.000 0.000 0.000
0.000 0.000 0.500
0.500 0.500 0.257
0.500 0.500 0.743

***

Y2AlOs (PBE, optimized geometry); ΔE_f = -0.8 eV/f.u.; DOS(E_F) = 5.25 states/eV/f.u.
1.0
3.305 0.000 0.000
0.000 3.305 0.000
0.000 0.000 8.304
Y Al Os
2 1 1
direct
0.000 0.000 0.000
0.500 0.500 0.384
0.000 0.000 0.637
0.500 0.500 0.779

***

K2Bi2PbO6 (PBE, optimized geometry); E_tot = -5.168 eV per atom; DOS(E_F) = 0.00 states/eV/f.u.
1.0
3.108 -5.292 0.000
3.108 5.292 0.000
-1.958 0.000 6.438
K Bi Pb O
2 2 1 6
direct
0.167 0.833 0.000
0.833 0.167 0.000
0.332 0.668 0.500
0.668 0.332 0.500
0.000 0.000 0.500
0.043 0.378 0.681
0.223 0.223 0.309
0.378 0.043 0.681
0.622 0.957 0.319
0.777 0.777 0.691
0.957 0.622 0.319

***

BaPr2Tl (PBE, optimized geometry); excess energy over the best structure of this formula in the dataset = 98.2 meV/atom; ΔE_f = 0.1 eV/f.u.; DOS(E_F) = 6.40 states/eV/f.u.
1.0
2.714 1.567 6.452
-2.714 1.567 6.452
0.000 -3.134 6.452
Ba Pr Tl
1 2 1
direct
0.000 0.000 0.000
0.554 0.554 0.554
0.787 0.787 0.787
0.193 0.193 0.193

***

Ca3TlAg8 (PBE, optimized geometry); ΔE_f = -2.7 eV/f.u.; DOS(E_F) = 4.32 states/eV/f.u.
1.0
2.850 1.646 9.441
-2.850 1.646 9.441
0.000 -3.291 9.441
Ca Tl Ag
3 1 8
direct
0.000 0.000 0.000
0.129 0.129 0.129
0.516 0.516 0.516
0.636 0.636 0.636
0.070 0.070 0.566
0.070 0.566 0.070
0.073 0.569 0.569
0.320 0.320 0.320
0.566 0.070 0.070
0.569 0.073 0.569
0.569 0.569 0.073
0.820 0.820 0.820

***

BiIrNF2 (PBE, optimized geometry); excess energy over the best structure of this formula in the dataset = 793.7 meV/atom; DOS(E_F) = 5.99 states/eV/f.u.
1.0
4.391 0.000 0.000
0.000 4.391 0.000
0.000 0.000 4.715
Bi Ir N F
1 1 1 2
direct
0.000 0.000 0.000
0.500 0.500 0.500
0.000 0.000 0.500
0.000 0.500 0.000
0.500 0.000 0.000